Density functional theory data (SCAN) for a PBEsol-optimized structure of Cd3ClF.

The structure in POSCAR format:
```
Cd3ClF
1.0
-1.564 2.624 -4.514
-4.953 -2.238 0.415
-1.654 4.221 3.026
F Cl Cd
1 1 3
Cartesian
-4.085 2.304 -0.537
0.000 0.000 0.000
-2.476 -1.119 0.207
-0.827 2.111 1.513
-0.782 1.312 -2.257
```

Values from the calculation:
As for the uncorrected formation energy: 0.13 eV/atom. As for the total energy: -102.10 eV per cell. Its crystal system is cubic. As for the space group: No. 221.